1.
VASP calculation (PBE) on SrLi2ZnF after structural relaxation.

```
data_SrLi2ZnF
_chemical_formula_sum 'Sr1 Li2 Zn1 F1'
_cell_length_a 4.422
_cell_length_b 4.422
_cell_length_c 5.174
_cell_angle_alpha 90.00
_cell_angle_beta 90.00
_cell_angle_gamma 90.00
_symmetry_space_group_name_H-M 'P 4/m m m'
_symmetry_Int_Tables_number 123
_symmetry_space_group_name_Hall '-P 4 2'
loop_
_atom_site_label
_atom_site_fract_x
_atom_site_fract_y
_atom_site_fract_z
Sr1 0.000 0.000 0.000
Li1 0.000 0.500 0.500
Zn1 0.500 0.500 0.000
F1 0.000 0.000 0.500
```

## Properties
D(E_F) ... 1.4 states/eV/f.u.
Spin magnetization ... 0.0 μB/f.u.
Formation energy from raw total energies ... -5.4 eV/f.u.
Electronic total energy ... -2.802 eV per atom



2.
VASP calculation (PBE) on Nd4Sm5Er after structural relaxation.

```
data_Nd4Sm5Er
_chemical_formula_sum 'Nd4 Sm5 Er1'
_cell_length_a 3.639
_cell_length_b 9.612
_cell_length_c 10.290
_cell_angle_alpha 74.31
_cell_angle_beta 89.94
_cell_angle_gamma 79.13
_symmetry_space_group_name_H-M 'P -1'
_symmetry_Int_Tables_number 2
loop_
_symmetry_equiv_pos_as_xyz
'x,y,z'
'-x,-y,-z'
loop_
_atom_site_label
_atom_site_fract_x
_atom_site_fract_y
_atom_site_fract_z
Nd1 0.099 0.302 0.298
Nd2 0.300 0.899 0.900
Sm1 0.100 0.302 0.801
Sm2 0.300 0.899 0.400
Sm3 0.500 0.500 0.500
Er1 0.500 0.500 0.000
```

## Properties
D(E_F) ... 13.8 states/eV/f.u.
Spin magnetization ... 0.0 μB/f.u.
Formation energy from the elements ... 14 meV/atom
Electronic total energy ... -4.709 eV per atom



3.
VASP calculation (PBE) on Hf2InSnW after structural relaxation.

```
data_Hf2InSnW
_chemical_formula_sum 'Hf2 In1 Sn1 W1'
_cell_length_a 5.067
_cell_length_b 5.067
_cell_length_c 5.282
_cell_angle_alpha 90.00
_cell_angle_beta 90.00
_cell_angle_gamma 90.00
_symmetry_space_group_name_H-M 'P 4/m m m'
_symmetry_Int_Tables_number 123
_symmetry_space_group_name_Hall '-P 4 2'
loop_
_atom_site_label
_atom_site_fract_x
_atom_site_fract_y
_atom_site_fract_z
Hf1 0.000 0.500 0.000
In1 0.000 0.000 0.500
Sn1 0.500 0.500 0.500
W1 0.000 0.000 0.000
```

## Properties
D(E_F) ... 8.0 states/eV/f.u.
Spin magnetization ... 0.0 μB/f.u.
Formation energy from the elements ... 812 meV/atom
Electronic total energy ... -7.108 eV per atom